(1)
# PBE-GGA NiP2Pb, relaxed
data_NiP2Pb
_chemical_formula_sum 'Ni4 P8 Pb4'
_cell_length_a 5.972
_cell_length_b 3.635
_cell_length_c 14.392
_cell_angle_alpha 90.00
_cell_angle_beta 90.00
_cell_angle_gamma 90.00
_symmetry_space_group_name_H-M 'P 1'
_symmetry_Int_Tables_number 1
loop_
_symmetry_equiv_pos_as_xyz
'x,y,z'
loop_
_atom_site_label
_atom_site_type_symbol
_atom_site_fract_x
_atom_site_fract_y
_atom_site_fract_z
Ni1 Ni 0.001 0.250 0.068
Ni2 Ni 0.499 0.750 0.568
Ni3 Ni 0.501 0.250 0.432
Ni4 Ni 0.999 0.750 0.932
P1 P 0.012 0.750 0.169
P2 P 0.238 0.250 0.945
P3 P 0.262 0.750 0.445
P4 P 0.488 0.250 0.669
P5 P 0.512 0.750 0.331
P6 P 0.738 0.250 0.555
P7 P 0.762 0.750 0.055
P8 P 0.988 0.250 0.831
Pb1 Pb 0.068 0.750 0.657
Pb2 Pb 0.432 0.250 0.157
Pb3 Pb 0.568 0.750 0.843
Pb4 Pb 0.932 0.250 0.343
# DFT total energy	-5.11	eV/atom
# space-group type	Pnma, No. 62

=====

(2)
# PBE-GGA Ni4P2Pb, relaxed
data_Ni4P2Pb
_chemical_formula_sum 'Ni8 P4 Pb2'
_cell_length_a 7.295
_cell_length_b 7.295
_cell_length_c 3.547
_cell_angle_alpha 90.00
_cell_angle_beta 90.00
_cell_angle_gamma 90.00
_symmetry_space_group_name_H-M 'P 1'
_symmetry_Int_Tables_number 1
loop_
_symmetry_equiv_pos_as_xyz
'x,y,z'
loop_
_atom_site_label
_atom_site_type_symbol
_atom_site_fract_x
_atom_site_fract_y
_atom_site_fract_z
Ni1 Ni 0.074 0.329 0.000
Ni2 Ni 0.171 0.574 0.500
Ni3 Ni 0.329 0.074 0.000
Ni4 Ni 0.426 0.829 0.500
Ni5 Ni 0.574 0.171 0.500
Ni6 Ni 0.671 0.926 0.000
Ni7 Ni 0.829 0.426 0.500
Ni8 Ni 0.926 0.671 0.000
P1 P 0.228 0.772 0.000
P2 P 0.272 0.272 0.500
P3 P 0.728 0.728 0.500
P4 P 0.772 0.228 0.000
Pb1 Pb 0.000 0.000 0.500
Pb2 Pb 0.500 0.500 0.000
# DFT total energy	-5.47	eV/atom
# space-group type	P4_2/mnm, No. 136

=====

> Which value of DFT total energy does entry 2 give?

-5.47 eV/atom

=====

> Which of these has the lowest DFT total energy?

Ni4P2Pb

=====

> Look up the DFT total energy of the first one.

-5.11 eV/atom